1.
LaTb7Al4 | PBE | relaxed

* size of the total moment: 0.35 μB/f.u.
* energy of formation: -0.065 eV per atom
* V: 668.3 Å³/cell

CIF file:
```
data_LaTb7Al4
_chemical_formula_sum 'La2 Tb14 Al8'
_cell_length_a 13.914
_cell_length_b 5.544
_cell_length_c 10.508
_cell_angle_alpha 90.00
_cell_angle_beta 124.46
_cell_angle_gamma 90.00
_symmetry_space_group_name_H-M 'C 1 2/m 1'
_symmetry_Int_Tables_number 12
_symmetry_space_group_name_Hall '-C 2y'
loop_
_atom_site_label
_atom_site_type_symbol
_atom_site_fract_x
_atom_site_fract_y
_atom_site_fract_z
La1 La 0.000 0.000 0.000
Tb1 Tb 0.000 0.500 0.000
Tb2 Tb 0.066 0.000 0.390
Tb3 Tb 0.201 0.500 0.642
Tb4 Tb 0.211 0.000 0.877
Al1 Al 0.054 0.500 0.763
Al2 Al 0.177 0.500 0.331
```

2.
TiRe2Sb | PBE | relaxed

* size of the total moment: 0.00 μB/f.u.
* V: 299.8 Å³/cell
* formation energy from raw total energies: 0.55 eV/atom

CIF file:
```
data_TiRe2Sb
_chemical_formula_sum 'Ti4 Re8 Sb4'
_cell_length_a 3.956
_cell_length_b 3.956
_cell_length_c 19.158
_cell_angle_alpha 90.00
_cell_angle_beta 90.00
_cell_angle_gamma 90.00
_symmetry_space_group_name_H-M 'I -4 2 d'
_symmetry_Int_Tables_number 122
_symmetry_space_group_name_Hall 'I -4 2bw'
loop_
_atom_site_label
_atom_site_type_symbol
_atom_site_fract_x
_atom_site_fract_y
_atom_site_fract_z
Ti1 Ti 0.000 0.000 0.000
Re1 Re 0.189 0.250 0.125
Sb1 Sb 0.000 0.000 0.500
```

3.
GaPI2 | PBE | relaxed

* size of the total moment: 0.00 μB/f.u.
* V: 641.7 Å³/cell
* formation energy from raw total energies: 0.40 eV/atom

CIF file:
```
data_GaPI2
_chemical_formula_sum 'Ga4 P4 I8'
_cell_length_a 6.127
_cell_length_b 6.127
_cell_length_c 17.096
_cell_angle_alpha 90.00
_cell_angle_beta 90.00
_cell_angle_gamma 90.00
_symmetry_space_group_name_H-M 'I -4 2 d'
_symmetry_Int_Tables_number 122
_symmetry_space_group_name_Hall 'I -4 2bw'
loop_
_atom_site_label
_atom_site_type_symbol
_atom_site_fract_x
_atom_site_fract_y
_atom_site_fract_z
Ga1 Ga 0.000 0.000 0.000
P1 P 0.000 0.000 0.500
I1 I 0.178 0.250 0.625
```

4.
DyZrSb2 | PBE | relaxed

* size of the total moment: 0.00 μB/f.u.
* V: 326.1 Å³/cell
* formation energy from raw total energies: -0.85 eV/atom

CIF file:
```
data_DyZrSb2
_chemical_formula_sum 'Dy3 Zr3 Sb6'
_cell_length_a 4.2249
_cell_length_b 4.2249
_cell_length_c 21.0933
_cell_angle_alpha 90.00
_cell_angle_beta 90.00
_cell_angle_gamma 120.00
_symmetry_space_group_name_H-M 'R -3 m'
_symmetry_Int_Tables_number 166
_symmetry_space_group_name_Hall '-R 3 2"'
loop_
_atom_site_label
_atom_site_type_symbol
_atom_site_fract_x
_atom_site_fract_y
_atom_site_fract_z
Dy1 Dy 0.0000 0.0000 0.0000
Zr1 Zr 0.0000 0.0000 0.5000
Sb1 Sb 0.0000 0.0000 0.2457
```

5.
Ac3ZrCu2O9 | PBE | relaxed

* size of the total moment: 0.00 μB/f.u.
* V: 200.4 Å³/cell
* formation energy from raw total energies: -2.48 eV/atom

CIF file:
```
data_Ac3ZrCu2O9
_chemical_formula_sum 'Ac3 Zr1 Cu2 O9'
_cell_length_a 5.7134
_cell_length_b 5.7134
_cell_length_c 7.0887
_cell_angle_alpha 90.00
_cell_angle_beta 90.00
_cell_angle_gamma 120.00
_symmetry_space_group_name_H-M 'P -3 m 1'
_symmetry_Int_Tables_number 164
_symmetry_space_group_name_Hall '-P 3 2"'
loop_
_atom_site_label
_atom_site_type_symbol
_atom_site_fract_x
_atom_site_fract_y
_atom_site_fract_z
Ac1 Ac 0.0000 0.0000 0.0000
Ac2 Ac 0.3333 0.6667 0.6990
Zr1 Zr 0.0000 0.0000 0.5000
Cu1 Cu 0.3333 0.6667 0.1640
O1 O 0.0000 0.5000 0.0000
O2 O 0.1670 0.3341 0.3242
```

6.
Pm4HIr2 | PBE | relaxed

* energy: -87.84 eV per cell
* size of the total moment: 0.00 μB/f.u.
* V: 335.3 Å³/cell

CIF file:
```
data_Pm4HIr2
_chemical_formula_sum 'Pm8 H2 Ir4'
_cell_length_a 6.587
_cell_length_b 6.811
_cell_length_c 7.824
_cell_angle_alpha 90.00
_cell_angle_beta 107.20
_cell_angle_gamma 90.00
_symmetry_space_group_name_H-M 'P 1 21/m 1'
_symmetry_Int_Tables_number 11
_symmetry_space_group_name_Hall '-P 2yb'
loop_
_atom_site_label
_atom_site_type_symbol
_atom_site_fract_x
_atom_site_fract_y
_atom_site_fract_z
Pm1 Pm 0.001 0.003 0.249
Pm2 Pm 0.439 0.250 0.607
Pm3 Pm 0.447 0.250 0.115
H1 H 0.242 0.250 0.310
Ir1 Ir 0.231 0.750 0.554
Ir2 Ir 0.235 0.750 0.061
```

7.
Ac3Zn6Ni5 | PBE | relaxed

* size of the total moment: 0.00 μB/f.u.
* energy of formation: -0.270 eV per atom
* V: 530.5 Å³/cell

CIF file:
```
data_Ac3Zn6Ni5
_chemical_formula_sum 'Ac6 Zn12 Ni10'
_cell_length_a 4.164
_cell_length_b 12.494
_cell_length_c 10.199
_cell_angle_alpha 90.00
_cell_angle_beta 90.00
_cell_angle_gamma 90.00
_symmetry_space_group_name_H-M 'P m m n'
_symmetry_Int_Tables_number 59
loop_
_symmetry_equiv_pos_as_xyz
'x,y,z'
'-x,-y,-z'
'-x+1/2,-y+1/2,z'
'x+1/2,y+1/2,-z'
'x+1/2,-y,-z'
'-x+1/2,y,z'
'-x,y+1/2,-z'
'x,-y+1/2,z'
loop_
_atom_site_label
_atom_site_type_symbol
_atom_site_fract_x
_atom_site_fract_y
_atom_site_fract_z
Ac1 Ac 0.250 0.084 0.250
Ac2 Ac 0.250 0.750 0.236
Zn1 Zn 0.250 0.056 0.924
Zn2 Zn 0.250 0.250 0.014
Zn3 Zn 0.250 0.250 0.509
Zn4 Zn 0.250 0.583 0.496
Ni1 Ni 0.250 0.081 0.652
Ni2 Ni 0.250 0.648 0.961
Ni3 Ni 0.250 0.750 0.634
```

8.
CdWAu2 | PBE | relaxed

* size of the total moment: 0.00 μB/f.u.
* energy of formation: 0.395 eV per atom
* V: 145.5 Å³/cell

CIF file:
```
data_CdWAu2
_chemical_formula_sum 'Cd2 W2 Au4'
_cell_length_a 9.325
_cell_length_b 2.813
_cell_length_c 5.587
_cell_angle_alpha 90.00
_cell_angle_beta 97.02
_cell_angle_gamma 90.00
_symmetry_space_group_name_H-M 'C 1 2/m 1'
_symmetry_Int_Tables_number 12
_symmetry_space_group_name_Hall '-C 2y'
loop_
_atom_site_label
_atom_site_type_symbol
_atom_site_fract_x
_atom_site_fract_y
_atom_site_fract_z
Cd1 Cd 0.000 0.000 0.000
W1 W 0.000 0.500 0.500
Au1 Au 0.246 0.000 0.732
```